1.
VASP calculation (PBE-GGA) on Dy2HoSc3As6 after structural relaxation.

```
data_Dy2HoSc3As6
_cell_length_a 6.9325
_cell_length_b 6.9325
_cell_length_c 6.9099
_cell_angle_alpha 99.61
_cell_angle_beta 99.61
_cell_angle_gamma 120.00
_symmetry_space_group_name_H-M 'P 1'
_symmetry_Int_Tables_number 1
loop_
_symmetry_equiv_pos_as_xyz
'x,y,z'
loop_
_atom_site_label
_atom_site_fract_x
_atom_site_fract_y
_atom_site_fract_z
_atom_site_occupancy
Dy1 0.1666 0.8334 0.0000 1
Dy2 0.8334 0.1666 0.0000 1
Ho1 0.5000 0.5000 0.0000 1
Sc1 0.0000 0.0000 0.5000 1
Sc2 0.3331 0.6669 0.5000 1
Sc3 0.6669 0.3331 0.5000 1
As1 0.0792 0.4119 0.7355 1
As2 0.2556 0.2556 0.2647 1
As3 0.4119 0.0792 0.7355 1
As4 0.5881 0.9208 0.2645 1
As5 0.7444 0.7444 0.7353 1
As6 0.9208 0.5881 0.2645 1
```

Values from the calculation:
Its crystal system is monoclinic.

2.
VASP calculation (PBE-GGA) on Sm3Dy2HoAs6 after structural relaxation.

```
data_Sm3Dy2HoAs6
_cell_length_a 9.3081
_cell_length_b 9.3081
_cell_length_c 8.3244
_cell_angle_alpha 102.88
_cell_angle_beta 102.88
_cell_angle_gamma 25.86
_symmetry_space_group_name_H-M 'P 1'
_symmetry_Int_Tables_number 1
loop_
_symmetry_equiv_pos_as_xyz
'x,y,z'
loop_
_atom_site_label
_atom_site_fract_x
_atom_site_fract_y
_atom_site_fract_z
_atom_site_occupancy
Sm1 0.0000 0.0000 0.0000 1
Sm2 0.3333 0.3333 0.6666 1
Sm3 0.6667 0.6667 0.3334 1
Dy1 0.3334 0.3334 0.1668 1
Dy2 0.6666 0.6666 0.8332 1
Ho1 0.0000 0.0000 0.5000 1
As1 0.1651 0.1651 0.5865 1
As2 0.1680 0.1680 0.0800 1
As3 0.4987 0.4987 0.2542 1
As4 0.5013 0.5013 0.7458 1
As5 0.8320 0.8320 0.9200 1
As6 0.8349 0.8349 0.4135 1
```

Values from the calculation:
Its crystal system is monoclinic.

3.
VASP calculation (PBE-GGA) on SmDy2Ho3As6 after structural relaxation.

```
data_SmDy2Ho3As6
_cell_length_a 9.2230
_cell_length_b 9.2230
_cell_length_c 8.2490
_cell_angle_alpha 102.90
_cell_angle_beta 102.90
_cell_angle_gamma 25.85
_symmetry_space_group_name_H-M 'P 1'
_symmetry_Int_Tables_number 1
loop_
_symmetry_equiv_pos_as_xyz
'x,y,z'
loop_
_atom_site_label
_atom_site_fract_x
_atom_site_fract_y
_atom_site_fract_z
_atom_site_occupancy
Sm1 0.0000 0.0000 0.0000 1
Dy1 0.3328 0.3328 0.6662 1
Dy2 0.6672 0.6672 0.3338 1
Ho1 0.0000 0.0000 0.5000 1
Ho2 0.3336 0.3336 0.1674 1
Ho3 0.6664 0.6664 0.8326 1
As1 0.1664 0.1664 0.5838 1
As2 0.1685 0.1685 0.0834 1
As3 0.5000 0.5000 0.2550 1
As4 0.5000 0.5000 0.7450 1
As5 0.8315 0.8315 0.9166 1
As6 0.8336 0.8336 0.4162 1
```

Values from the calculation:
Its crystal system is monoclinic.

4.
VASP calculation (PBE-GGA) on SmDyHo2As4 after structural relaxation.

```
data_SmDyHo2As4
_cell_length_a 7.1581
_cell_length_b 4.1356
_cell_length_c 7.1591
_cell_angle_alpha 90.00
_cell_angle_beta 109.47
_cell_angle_gamma 90.00
_symmetry_space_group_name_H-M 'P 1'
_symmetry_Int_Tables_number 1
loop_
_symmetry_equiv_pos_as_xyz
'x,y,z'
loop_
_atom_site_label
_atom_site_fract_x
_atom_site_fract_y
_atom_site_fract_z
_atom_site_occupancy
Sm1 0.0000 0.0000 0.0000 1
Dy1 0.0000 0.5000 0.5000 1
Ho1 0.5000 0.0000 0.5000 1
Ho2 0.5000 0.5000 0.0000 1
As1 0.2532 0.0000 0.7484 1
As2 0.2551 0.5000 0.2544 1
As3 0.7449 0.5000 0.7456 1
As4 0.7468 0.0000 0.2516 1
```

Values from the calculation:
Its crystal system is monoclinic.

5.
VASP calculation (PBE-GGA) on Sm2Dy3HoAs6 after structural relaxation.

```
data_Sm2Dy3HoAs6
_cell_length_a 9.2736
_cell_length_b 9.2736
_cell_length_c 8.2941
_cell_angle_alpha 102.91
_cell_angle_beta 102.91
_cell_angle_gamma 25.85
_symmetry_space_group_name_H-M 'P 1'
_symmetry_Int_Tables_number 1
loop_
_symmetry_equiv_pos_as_xyz
'x,y,z'
loop_
_atom_site_label
_atom_site_fract_x
_atom_site_fract_y
_atom_site_fract_z
_atom_site_occupancy
Sm1 0.1660 0.1660 0.3324 1
Sm2 0.8340 0.8340 0.6676 1
Dy1 0.1670 0.1670 0.8337 1
Dy2 0.5000 0.5000 0.5000 1
Dy3 0.8330 0.8330 0.1663 1
Ho1 0.5000 0.5000 0.0000 1
As1 0.0017 0.0017 0.7519 1
As2 0.3339 0.3339 0.9213 1
As3 0.3346 0.3346 0.4134 1
As4 0.6654 0.6654 0.5866 1
As5 0.6661 0.6661 0.0787 1
As6 0.9983 0.9983 0.2481 1
```

Values from the calculation:
Its crystal system is monoclinic.

6.
VASP calculation (PBE-GGA) on Sm2DyHo3As6 after structural relaxation.

```
data_Sm2DyHo3As6
_cell_length_a 9.2590
_cell_length_b 9.2590
_cell_length_c 8.2809
_cell_angle_alpha 102.89
_cell_angle_beta 102.89
_cell_angle_gamma 25.86
_symmetry_space_group_name_H-M 'P 1'
_symmetry_Int_Tables_number 1
loop_
_symmetry_equiv_pos_as_xyz
'x,y,z'
loop_
_atom_site_label
_atom_site_fract_x
_atom_site_fract_y
_atom_site_fract_z
_atom_site_occupancy
Sm1 0.1661 0.1661 0.3325 1
Sm2 0.8339 0.8339 0.6675 1
Dy1 0.5000 0.5000 0.0000 1
Ho1 0.1669 0.1669 0.8337 1
Ho2 0.5000 0.5000 0.5000 1
Ho3 0.8331 0.8331 0.1663 1
As1 0.0019 0.0019 0.7503 1
As2 0.3333 0.3333 0.9217 1
As3 0.3349 0.3349 0.4128 1
As4 0.6651 0.6651 0.5872 1
As5 0.6667 0.6667 0.0783 1
As6 0.9981 0.9981 0.2497 1
```

Values from the calculation:
Its crystal system is monoclinic.

7.
VASP calculation (PBE-GGA) on SmDy3Ho2As6 after structural relaxation.

```
data_SmDy3Ho2As6
_cell_length_a 7.1509
_cell_length_b 7.1509
_cell_length_c 7.1511
_cell_angle_alpha 99.59
_cell_angle_beta 99.59
_cell_angle_gamma 119.99
_symmetry_space_group_name_H-M 'P 1'
_symmetry_Int_Tables_number 1
loop_
_symmetry_equiv_pos_as_xyz
'x,y,z'
loop_
_atom_site_label
_atom_site_fract_x
_atom_site_fract_y
_atom_site_fract_z
_atom_site_occupancy
Sm1 0.0000 0.0000 0.0000 1
Dy1 0.1657 0.8343 0.5000 1
Dy2 0.5000 0.5000 0.5000 1
Dy3 0.8343 0.1657 0.5000 1
Ho1 0.3331 0.6669 0.0000 1
Ho2 0.6669 0.3331 0.0000 1
As1 0.0838 0.4210 0.2514 1
As2 0.2536 0.2536 0.7492 1
As3 0.4210 0.0838 0.2514 1
As4 0.5790 0.9162 0.7486 1
As5 0.7464 0.7464 0.2508 1
As6 0.9162 0.5790 0.7486 1
```

Values from the calculation:
Its crystal system is monoclinic.

8.
VASP calculation (PBE-GGA) on Tb2DyHo3As6 after structural relaxation.

```
data_Tb2DyHo3As6
_cell_length_a 9.2011
_cell_length_b 9.2011
_cell_length_c 8.2294
_cell_angle_alpha 102.89
_cell_angle_beta 102.89
_cell_angle_gamma 25.85
_symmetry_space_group_name_H-M 'P 1'
_symmetry_Int_Tables_number 1
loop_
_symmetry_equiv_pos_as_xyz
'x,y,z'
loop_
_atom_site_label
_atom_site_fract_x
_atom_site_fract_y
_atom_site_fract_z
_atom_site_occupancy
Tb1 0.1666 0.1666 0.3331 1
Tb2 0.8334 0.8334 0.6669 1
Dy1 0.5000 0.5000 0.0000 1
Ho1 0.1667 0.1667 0.8334 1
Ho2 0.5000 0.5000 0.5000 1
Ho3 0.8333 0.8333 0.1666 1
As1 0.0006 0.0006 0.7496 1
As2 0.3331 0.3331 0.9183 1
As3 0.3339 0.3339 0.4153 1
As4 0.6661 0.6661 0.5847 1
As5 0.6669 0.6669 0.0817 1
As6 0.9994 0.9994 0.2504 1
```

Values from the calculation:
Its crystal system is monoclinic.

9.
VASP calculation (PBE-GGA) on TbDy3Ho2As6 after structural relaxation.

```
data_TbDy3Ho2As6
_cell_length_a 7.1279
_cell_length_b 7.1279
_cell_length_c 7.1280
_cell_angle_alpha 99.58
_cell_angle_beta 99.58
_cell_angle_gamma 119.99
_symmetry_space_group_name_H-M 'P 1'
_symmetry_Int_Tables_number 1
loop_
_symmetry_equiv_pos_as_xyz
'x,y,z'
loop_
_atom_site_label
_atom_site_fract_x
_atom_site_fract_y
_atom_site_fract_z
_atom_site_occupancy
Tb1 0.0000 0.0000 0.0000 1
Dy1 0.1663 0.8337 0.5000 1
Dy2 0.5000 0.5000 0.5000 1
Dy3 0.8337 0.1663 0.5000 1
Ho1 0.3332 0.6668 0.0000 1
Ho2 0.6668 0.3332 0.0000 1
As1 0.0833 0.4179 0.2497 1
As2 0.2515 0.2515 0.7506 1
As3 0.4179 0.0833 0.2497 1
As4 0.5821 0.9167 0.7503 1
As5 0.7485 0.7485 0.2494 1
As6 0.9167 0.5821 0.7503 1
```

Values from the calculation:
Its crystal system is monoclinic.

10.
VASP calculation (PBE-GGA) on TbDy2HoAs4 after structural relaxation.

```
data_TbDy2HoAs4
_cell_length_a 7.1329
_cell_length_b 4.1203
_cell_length_c 7.1336
_cell_angle_alpha 90.00
_cell_angle_beta 109.47
_cell_angle_gamma 90.00
_symmetry_space_group_name_H-M 'P 1'
_symmetry_Int_Tables_number 1
loop_
_symmetry_equiv_pos_as_xyz
'x,y,z'
loop_
_atom_site_label
_atom_site_fract_x
_atom_site_fract_y
_atom_site_fract_z
_atom_site_occupancy
Tb1 0.0000 0.0000 0.0000 1
Dy1 0.5000 0.0000 0.5000 1
Dy2 0.5000 0.5000 0.0000 1
Ho1 0.0000 0.5000 0.5000 1
As1 0.2496 0.0000 0.7488 1
As2 0.2505 0.5000 0.2512 1
As3 0.7495 0.5000 0.7488 1
As4 0.7504 0.0000 0.2512 1
```

Values from the calculation:
Its crystal system is monoclinic.

11.
VASP calculation (PBE-GGA) on Tb3Dy2HoAs6 after structural relaxation.

```
data_Tb3Dy2HoAs6
_cell_length_a 9.2229
_cell_length_b 9.2229
_cell_length_c 8.2484
_cell_angle_alpha 102.90
_cell_angle_beta 102.90
_cell_angle_gamma 25.85
_symmetry_space_group_name_H-M 'P 1'
_symmetry_Int_Tables_number 1
loop_
_symmetry_equiv_pos_as_xyz
'x,y,z'
loop_
_atom_site_label
_atom_site_fract_x
_atom_site_fract_y
_atom_site_fract_z
_atom_site_occupancy
Tb1 0.0000 0.0000 0.0000 1
Tb2 0.3333 0.3333 0.6667 1
Tb3 0.6667 0.6667 0.3333 1
Dy1 0.3334 0.3334 0.1669 1
Dy2 0.6666 0.6666 0.8331 1
Ho1 0.0000 0.0000 0.5000 1
As1 0.1661 0.1661 0.5837 1
As2 0.1670 0.1670 0.0825 1
As3 0.4998 0.4998 0.2516 1
As4 0.5002 0.5002 0.7484 1
As5 0.8330 0.8330 0.9175 1
As6 0.8339 0.8339 0.4163 1
```

Values from the calculation:
Its crystal system is monoclinic.

12.
VASP calculation (PBE-GGA) on Dy3HoTh2As6 after structural relaxation.

```
data_Dy3HoTh2As6
_cell_length_a 9.3068
_cell_length_b 9.3068
_cell_length_c 8.3127
_cell_angle_alpha 102.81
_cell_angle_beta 102.81
_cell_angle_gamma 25.91
_symmetry_space_group_name_H-M 'P 1'
_symmetry_Int_Tables_number 1
loop_
_symmetry_equiv_pos_as_xyz
'x,y,z'
loop_
_atom_site_label
_atom_site_fract_x
_atom_site_fract_y
_atom_site_fract_z
_atom_site_occupancy
Dy1 0.0000 0.0000 0.0000 1
Dy2 0.3337 0.3337 0.6660 1
Dy3 0.6663 0.6663 0.3340 1
Ho1 0.0000 0.0000 0.5000 1
Th1 0.3352 0.3352 0.1701 1
Th2 0.6648 0.6648 0.8299 1
As1 0.1652 0.1652 0.0873 1
As2 0.1661 0.1661 0.5771 1
As3 0.4980 0.4980 0.7481 1
As4 0.5020 0.5020 0.2519 1
As5 0.8339 0.8339 0.4229 1
As6 0.8348 0.8348 0.9127 1
```

Values from the calculation:
Its crystal system is monoclinic.

Per-record energy of formation from the pure elements, meV/atom: -1443.7; -1528.4; -1528.7; -1527.7; -1528.8; -1526.2; -1529.7; -1534.1; -1534.6; -1536.1; -1537.6; -1495.2